1.
The following is a DFT calculation (PBE) of crystalline LiCd6Hg at its relaxed geometry.

Computed properties:
- Magnetization: 0.00 μB/f.u.
- Volume: 347 Å³ per cell
- Total DFT energy (no corrections): -16.83 eV for the cell shown
- Offset from the most stable computed form: 0.0000 eV per atom

Lattice parameters (Å, degrees): 5.131 6.257 10.800 90.00 90.00 90.00
Element x y z (fractional)
Li  0.000  0.000  0.000
Li  0.000  0.500  0.500
Cd  0.000  0.000  0.505
Cd  0.000  0.249  0.751
Cd  0.000  0.251  0.251
Cd  0.000  0.500  0.005
Cd  0.000  0.749  0.251
Cd  0.000  0.751  0.751
Cd  0.500  0.000  0.339
Cd  0.500  0.247  0.088
Cd  0.500  0.253  0.588
Cd  0.500  0.500  0.839
Cd  0.500  0.747  0.588
Cd  0.500  0.753  0.088
Hg  0.500  0.000  0.846
Hg  0.500  0.500  0.346



2.
The following is a DFT calculation (PBE) of crystalline Na2Ca3 at its relaxed geometry.

Computed properties:
- Magnetization: 0.00 μB/f.u.
- Volume: 608 Å³ per cell
- Total DFT energy (no corrections): -25.48 eV for the cell shown
- Offset from the most stable computed form: 0.0000 eV per atom

Lattice parameters (Å, degrees): 3.870 3.870 46.876 90.00 90.00 120.00
Element x y z (fractional)
Na  0.000  0.000  0.199
Na  0.000  0.000  0.801
Na  0.333  0.667  0.468
Na  0.333  0.667  0.866
Na  0.667  0.333  0.134
Na  0.667  0.333  0.532
Ca  0.000  0.000  0.000
Ca  0.000  0.000  0.401
Ca  0.000  0.000  0.599
Ca  0.333  0.667  0.068
Ca  0.333  0.667  0.266
Ca  0.333  0.667  0.667
Ca  0.667  0.333  0.333
Ca  0.667  0.333  0.734
Ca  0.667  0.333  0.932



3.
The following is a DFT calculation (PBE) of crystalline Ba2Ca3ReN6 at its relaxed geometry.

Computed properties:
- Magnetization: 0.93 μB/f.u.
- Volume: 200 Å³ per cell
- Total DFT energy (no corrections): -77.25 eV for the cell shown
- Uncorrected formation energy: -416 meV/atom

Lattice parameters (Å, degrees): 6.538 6.538 5.895 99.04 99.04 123.00
Element x y z (fractional)
Ba  0.170  0.830  0.000
Ba  0.830  0.170  0.000
Ca  0.000  0.000  0.500
Ca  0.362  0.638  0.500
Ca  0.638  0.362  0.500
Re  0.500  0.500  0.000
N  0.177  0.423  0.777
N  0.294  0.294  0.222
N  0.423  0.177  0.777
N  0.577  0.823  0.223
N  0.706  0.706  0.778
N  0.823  0.577  0.223



4.
The following is a DFT calculation (PBE) of crystalline Th2MgPb5 at its relaxed geometry.

Computed properties:
- Magnetization: 0.00 μB/f.u.
- Volume: 462 Å³ per cell
- Total DFT energy (no corrections): -74.03 eV for the cell shown

Lattice parameters (Å, degrees): 6.886 13.695 4.900 90.00 90.00 90.00
Element x y z (fractional)
Th  0.205  0.138  0.000
Th  0.295  0.638  0.000
Th  0.705  0.362  0.000
Th  0.795  0.862  0.000
Mg  0.000  0.500  0.500
Mg  0.500  0.000  0.500
Pb  0.000  0.000  0.500
Pb  0.033  0.741  0.500
Pb  0.213  0.390  0.000
Pb  0.287  0.890  0.000
Pb  0.467  0.241  0.500
Pb  0.500  0.500  0.500
Pb  0.533  0.759  0.500
Pb  0.713  0.110  0.000
Pb  0.787  0.610  0.000
Pb  0.967  0.259  0.500